A plane-wave DFT calculation with PBE was carried out for a relaxed KGdSn4 crystal.

Cell lengths 6.2940, 6.2940, 6.2940 Å; angles 60.00, 60.00, 60.00 degrees
Each line ends with the local moment (μB).
Sites, in units of the cell vectors:
Sn1 0.1227 0.6258 0.6258  -0.01
K1 0.2500 0.2500 0.2500  0.00
Sn2 0.6258 0.1227 0.6258  -0.01
Gd1 0.0000 0.0000 0.0000  6.97
Sn3 0.6258 0.6258 0.6258  -0.01
Sn4 0.6258 0.6258 0.1227  -0.01

Values from the calculation:
Theoretical density ... 6.32 g cm⁻³
Symmetry ... F-43m, No. 216
Formation energy ... -152 kJ/mol of formula units
DFT total energy ... -0.2007 hartree per atom

---

A plane-wave DFT calculation with PBE was carried out for a relaxed Sc2SiPd crystal.

Cell lengths 3.5979, 4.4714, 4.4714 Å; angles 90.00, 90.00, 90.00 degrees
Sites, in units of the cell vectors:
Sc1 0.0000 0.5000 0.0000
Pd1 0.5000 0.0000 0.0000
Si1 0.5000 0.5000 0.5000
Sc2 0.0000 0.0000 0.5000

Values from the calculation:
Theoretical density ... 5.18 g cm⁻³
Symmetry ... P4/mmm, No. 123
DFT total energy ... -0.2415 hartree per atom